[1]
# Ac3P2N8, optimized geometry, DFT PBE
data_Ac3P2N8
_cell_length_a 5.7095
_cell_length_b 5.7095
_cell_length_c 7.5699
_cell_angle_alpha 67.84
_cell_angle_beta 67.84
_cell_angle_gamma 60.00
_symmetry_space_group_name_H-M 'P 1'
_symmetry_Int_Tables_number 1
loop_
_symmetry_equiv_pos_as_xyz
'x,y,z'
loop_
_atom_site_label
_atom_site_type_symbol
_atom_site_fract_x
_atom_site_fract_y
_atom_site_fract_z
_atom_site_occupancy
P1 P 0.5869 0.5869 0.2393 1
N1 N 0.6675 0.6675 0.9976 1
Ac1 Ac 0.2059 0.2059 0.3824 1
N2 N 0.7237 0.2482 0.3044 1
N3 N 0.2763 0.7518 0.6956 1
P2 P 0.4131 0.4131 0.7607 1
N4 N 0.2763 0.2763 0.6956 1
Ac2 Ac 0.0000 0.0000 0.0000 1
N5 N 0.7518 0.2763 0.6956 1
N6 N 0.3325 0.3325 0.0024 1
N7 N 0.2482 0.7237 0.3044 1
N8 N 0.7237 0.7237 0.3044 1
Ac3 Ac 0.7941 0.7941 0.6176 1
# E_tot = -97.0 eV/cell
# D(E_F) = 5.8 states/eV/f.u.
# V = 14.8 Å³/atom

---

[2]
# Ac2PN3, optimized geometry, DFT PBE
data_Ac2PN3
_cell_length_a 6.3069
_cell_length_b 7.1216
_cell_length_c 6.3069
_cell_angle_alpha 63.78
_cell_angle_beta 63.41
_cell_angle_gamma 63.78
_symmetry_space_group_name_H-M 'P 1'
_symmetry_Int_Tables_number 1
loop_
_symmetry_equiv_pos_as_xyz
'x,y,z'
loop_
_atom_site_label
_atom_site_type_symbol
_atom_site_fract_x
_atom_site_fract_y
_atom_site_fract_z
_atom_site_occupancy
N1 N 0.3814 0.2500 0.6186 1
P1 P 0.8695 0.7500 0.1305 1
Ac1 Ac 0.8251 0.3056 0.4999 1
N2 N 0.8608 0.4144 0.8320 1
P2 P 0.1305 0.2500 0.8695 1
Ac2 Ac 0.1749 0.6944 0.5001 1
N3 N 0.1680 0.0856 0.1392 1
N4 N 0.1392 0.5856 0.1680 1
N5 N 0.6186 0.7500 0.3814 1
Ac3 Ac 0.5001 0.1944 0.1749 1
Ac4 Ac 0.4999 0.8056 0.8251 1
N6 N 0.8320 0.9144 0.8608 1
# E_tot = -86.7 eV/cell
# D(E_F) = 2.2 states/eV/f.u.
# V = 18.0 Å³/atom

---

[3]
# Ac3PN5, optimized geometry, DFT PBE
data_Ac3PN5
_cell_length_a 7.1402
_cell_length_b 7.1402
_cell_length_c 7.5630
_cell_angle_alpha 118.17
_cell_angle_beta 118.17
_cell_angle_gamma 90.00
_symmetry_space_group_name_H-M 'P 1'
_symmetry_Int_Tables_number 1
loop_
_symmetry_equiv_pos_as_xyz
'x,y,z'
loop_
_atom_site_label
_atom_site_type_symbol
_atom_site_fract_x
_atom_site_fract_y
_atom_site_fract_z
_atom_site_occupancy
Ac1 Ac 0.8170 0.6830 0.0000 1
N1 N 0.9709 0.4709 0.6832 1
P1 P 0.7500 0.2500 0.5000 1
N2 N 0.4709 0.7123 0.6832 1
P2 P 0.2500 0.7500 0.5000 1
N3 N 0.5000 0.5000 0.0000 1
N4 N 0.7877 0.0291 0.3168 1
N5 N 0.0000 0.0000 0.0000 1
N6 N 0.7123 0.2123 0.6832 1
Ac2 Ac 0.1830 0.3170 0.0000 1
Ac3 Ac 0.2500 0.2500 0.5000 1
N7 N 0.2877 0.7877 0.3168 1
N8 N 0.5291 0.2877 0.3168 1
Ac4 Ac 0.3170 0.8170 0.0000 1
N9 N 0.0291 0.5291 0.3168 1
Ac5 Ac 0.7500 0.7500 0.5000 1
N10 N 0.2123 0.9709 0.6832 1
Ac6 Ac 0.6830 0.1830 0.0000 1
# E_tot = -138.2 eV/cell
# D(E_F) = 5.7 states/eV/f.u.
# V = 15.9 Å³/atom

---

[4]
# Ac3PN, optimized geometry, DFT PBE
data_Ac3PN
_cell_length_a 5.1928
_cell_length_b 5.1928
_cell_length_c 5.1928
_cell_angle_alpha 90.00
_cell_angle_beta 90.00
_cell_angle_gamma 90.00
_symmetry_space_group_name_H-M 'P 1'
_symmetry_Int_Tables_number 1
loop_
_symmetry_equiv_pos_as_xyz
'x,y,z'
loop_
_atom_site_label
_atom_site_type_symbol
_atom_site_fract_x
_atom_site_fract_y
_atom_site_fract_z
_atom_site_occupancy
N1 N 0.0000 0.0000 0.0000 1
P1 P 0.5000 0.5000 0.5000 1
Ac1 Ac 0.0000 0.5000 0.0000 1
Ac2 Ac 0.0000 0.0000 0.5000 1
Ac3 Ac 0.5000 0.0000 0.0000 1
# E_tot = -29.2 eV/cell
# D(E_F) = 2.5 states/eV/f.u.
# V = 28.0 Å³/atom

---

[5]
# AcP4N8, optimized geometry, DFT PBE
data_AcP4N8
_cell_length_a 5.0732
_cell_length_b 5.0732
_cell_length_c 8.2383
_cell_angle_alpha 90.00
_cell_angle_beta 90.00
_cell_angle_gamma 120.00
_symmetry_space_group_name_H-M 'P 1'
_symmetry_Int_Tables_number 1
loop_
_symmetry_equiv_pos_as_xyz
'x,y,z'
loop_
_atom_site_label
_atom_site_type_symbol
_atom_site_fract_x
_atom_site_fract_y
_atom_site_fract_z
_atom_site_occupancy
N1 N 0.0000 0.3933 0.7456 1
P1 P 0.3333 0.6667 0.2002 1
N2 N 0.6067 0.6067 0.7456 1
P2 P 0.6667 0.3333 0.2002 1
P3 P 0.6667 0.3333 0.7998 1
Ac1 Ac 0.0000 0.0000 0.0000 1
N3 N 0.3933 0.0000 0.7456 1
N4 N 0.0000 0.6067 0.2544 1
N5 N 0.3333 0.6667 0.0000 1
N6 N 0.3933 0.3933 0.2544 1
N7 N 0.6667 0.3333 0.0000 1
P4 P 0.3333 0.6667 0.7998 1
N8 N 0.6067 0.0000 0.2544 1
# E_tot = -98.3 eV/cell
# D(E_F) = 3.9 states/eV/f.u.
# V = 14.1 Å³/atom

---

[6]
# Ac2P2N5, optimized geometry, DFT PBE
data_Ac2P2N5
_cell_length_a 3.7552
_cell_length_b 5.5099
_cell_length_c 6.3697
_cell_angle_alpha 100.77
_cell_angle_beta 90.00
_cell_angle_gamma 109.92
_symmetry_space_group_name_H-M 'P 1'
_symmetry_Int_Tables_number 1
loop_
_symmetry_equiv_pos_as_xyz
'x,y,z'
loop_
_atom_site_label
_atom_site_type_symbol
_atom_site_fract_x
_atom_site_fract_y
_atom_site_fract_z
_atom_site_occupancy
N1 N 0.8707 0.7414 0.3539 1
N2 N 0.1293 0.2586 0.6461 1
N3 N 0.0000 0.0000 0.0000 1
Ac1 Ac 0.4101 0.8203 0.6853 1
P1 P 0.1552 0.3103 0.9090 1
N4 N 0.6768 0.3536 0.9751 1
Ac2 Ac 0.5899 0.1797 0.3147 1
P2 P 0.8448 0.6897 0.0910 1
N5 N 0.3232 0.6464 0.0249 1
# E_tot = -65.4 eV/cell
# D(E_F) = 1.4 states/eV/f.u.
# V = 13.5 Å³/atom